Entry from Alexandria via LeMat-Bulk: an optimized crystal structure of MgH5Ir2 (PBE).

crystal system = monoclinic
total magnetization = 0.00 μB/cell
volume = 69.0 Å³/cell
DFT total energy = -4.558 eV/atom

abc: 4.818 4.818 4.216
angles: 115.92 115.92 101.81
Positions (direct):
Mg (0.000, 0.000, 0.000)
H (0.164, 0.495, 0.985)
H (0.491, 0.164, 0.670)
H (0.500, 0.500, 0.500)
H (0.505, 0.836, 0.015)
H (0.836, 0.509, 0.330)
Ir (0.257, 0.743, 0.500)
Ir (0.743, 0.257, 0.500)

=====

Entry from Alexandria via LeMat-Bulk: an optimized crystal structure of Mg2H5Ir (PBE).

crystal system = triclinic
total magnetization = 0.00 μB/cell
volume = 78.0 Å³/cell
DFT total energy = -3.833 eV/atom

abc: 3.102 4.752 5.352
angles: 81.50 89.79 89.99
Positions (direct):
Mg (0.000, 0.000, 0.000)
Mg (0.497, 0.655, 0.443)
H (0.497, 0.115, 0.327)
H (0.499, 0.761, 0.054)
H (0.993, 0.355, 0.732)
H (0.996, 0.838, 0.660)
H (0.998, 0.444, 0.256)
Ir (0.997, 0.161, 0.482)

=====

Entry from Alexandria via LeMat-Bulk: an optimized crystal structure of MgH5Ir (PBE).

crystal system = monoclinic
total magnetization = 0.00 μB/cell
volume = 119.4 Å³/cell
DFT total energy = -4.080 eV/atom

abc: 4.697 4.697 6.228
angles: 106.01 106.01 103.72
Positions (direct):
Mg (0.168, 0.832, 0.750)
Mg (0.832, 0.168, 0.250)
H (0.126, 0.258, 0.869)
H (0.210, 0.648, 0.448)
H (0.258, 0.126, 0.369)
H (0.352, 0.790, 0.052)
H (0.399, 0.601, 0.250)
H (0.601, 0.399, 0.750)
H (0.648, 0.210, 0.948)
H (0.742, 0.874, 0.631)
H (0.790, 0.352, 0.552)
H (0.874, 0.742, 0.131)
Ir (0.500, 0.500, 0.000)
Ir (0.500, 0.500, 0.500)

=====

Entry from Alexandria via LeMat-Bulk: an optimized crystal structure of MgHIr (PBE).

crystal system = trigonal
total magnetization = 0.00 μB/cell
volume = 35.1 Å³/cell
DFT total energy = -4.766 eV/atom

abc: 3.048 3.048 4.364
angles: 90.00 90.00 120.00
Positions (direct):
Mg (0.000, 0.000, 0.000)
H (0.333, 0.667, 0.389)
Ir (0.667, 0.333, 0.509)

=====

Entry from Alexandria via LeMat-Bulk: an optimized crystal structure of MgH2Ir4 (PBE).

crystal system = trigonal
total magnetization = 0.00 μB/cell
volume = 87.9 Å³/cell
DFT total energy = -6.210 eV/atom

abc: 5.233 5.233 5.233
angles: 54.31 54.31 54.31
Positions (direct):
Mg (0.000, 0.000, 0.000)
H (0.573, 0.573, 0.573)
H (0.772, 0.772, 0.772)
Ir (0.180, 0.839, 0.487)
Ir (0.335, 0.335, 0.335)
Ir (0.487, 0.180, 0.839)
Ir (0.839, 0.487, 0.180)

=====

Entry from Alexandria via LeMat-Bulk: an optimized crystal structure of MgH2Ir (PBE).

crystal system = trigonal
total magnetization = 0.00 μB/cell
volume = 37.9 Å³/cell
DFT total energy = -4.440 eV/atom

abc: 4.883 4.883 4.883
angles: 37.07 37.07 37.07
Positions (direct):
Mg (0.000, 0.000, 0.000)
H (0.380, 0.380, 0.380)
H (0.620, 0.620, 0.620)
Ir (0.500, 0.500, 0.500)

=====

Entry from Alexandria via LeMat-Bulk: an optimized crystal structure of MgH2Ir3 (PBE).

crystal system = orthorhombic
total magnetization = 0.00 μB/cell
volume = 67.1 Å³/cell
DFT total energy = -5.837 eV/atom

abc: 4.025 4.025 4.140
angles: 90.00 90.00 90.03
Positions (direct):
Mg (0.000, 0.000, 0.000)
H (0.284, 0.716, 0.724)
H (0.716, 0.284, 0.724)
Ir (0.000, 0.500, 0.465)
Ir (0.500, 0.000, 0.465)
Ir (0.500, 0.500, 0.030)

=====

Entry from Alexandria via LeMat-Bulk: an optimized crystal structure of MgH3Ir (PBE).

crystal system = tetragonal
total magnetization = 0.00 μB/cell
volume = 93.8 Å³/cell
DFT total energy = -4.038 eV/atom

abc: 8.948 8.948 8.948
angles: 158.78 158.78 30.19
Positions (direct):
Mg (0.108, 0.108, 0.000)
Mg (0.892, 0.892, 0.000)
H (0.035, 0.535, 0.500)
H (0.115, 0.328, 0.788)
H (0.465, 0.965, 0.500)
H (0.540, 0.328, 0.212)
H (0.672, 0.460, 0.788)
H (0.672, 0.885, 0.212)
Ir (0.500, 0.500, 0.000)
Ir (0.750, 0.250, 0.500)

=====

Entry from Alexandria via LeMat-Bulk: an optimized crystal structure of Mg4H3Ir (PBE).

crystal system = monoclinic
total magnetization = 0.00 μB/cell
volume = 108.4 Å³/cell
DFT total energy = -3.427 eV/atom

abc: 5.159 5.159 5.355
angles: 117.86 117.86 66.44
Positions (direct):
Mg (0.124, 0.500, 0.038)
Mg (0.159, 0.159, 0.408)
Mg (0.500, 0.876, 0.962)
Mg (0.841, 0.841, 0.592)
H (0.144, 0.856, 0.000)
H (0.574, 0.332, 0.766)
H (0.668, 0.426, 0.234)
Ir (0.626, 0.374, 0.500)

=====

Entry from Alexandria via LeMat-Bulk: an optimized crystal structure of Mg2H2Ir3 (PBE).

crystal system = triclinic
total magnetization = 0.00 μB/cell
volume = 84.4 Å³/cell
DFT total energy = -5.387 eV/atom

abc: 2.889 4.917 6.517
angles: 74.82 77.23 72.97
Positions (direct):
Mg (0.000, 0.000, 0.000)
Mg (0.148, 0.413, 0.288)
H (0.378, 0.004, 0.236)
H (0.640, 0.637, 0.082)
Ir (0.354, 0.805, 0.486)
Ir (0.576, 0.203, 0.643)
Ir (0.789, 0.582, 0.838)

=====

Entry from Alexandria via LeMat-Bulk: an optimized crystal structure of MgH3Ir (PBE).

crystal system = monoclinic
total magnetization = 0.00 μB/cell
volume = 89.6 Å³/cell
DFT total energy = -4.216 eV/atom

abc: 6.428 6.428 4.901
angles: 93.38 93.38 26.33
Positions (direct):
Mg (0.129, 0.129, 0.196)
Mg (0.871, 0.871, 0.804)
H (0.033, 0.033, 0.806)
H (0.171, 0.171, 0.601)
H (0.306, 0.306, 0.064)
H (0.694, 0.694, 0.936)
H (0.829, 0.829, 0.399)
H (0.967, 0.967, 0.194)
Ir (0.406, 0.406, 0.314)
Ir (0.594, 0.594, 0.686)

=====

Entry from Alexandria via LeMat-Bulk: an optimized crystal structure of MgH3Ir2 (PBE).

crystal system = triclinic
total magnetization = 0.00 μB/cell
volume = 60.6 Å³/cell
DFT total energy = -4.939 eV/atom

abc: 2.811 3.792 5.686
angles: 90.18 90.13 90.01
Positions (direct):
Mg (0.000, 0.000, 0.000)
H (0.004, 0.640, 0.666)
H (0.501, 0.460, 0.976)
H (0.504, 0.127, 0.685)
Ir (0.003, 0.999, 0.513)
Ir (0.502, 0.512, 0.257)